# BPd2Pt | the Alexandria database | GGA-PBE | optimized geometry
# Calculated density: 12.78 g cm⁻³
# Total DFT energy (no corrections): -5.9992 eV/atom
data_BPd2Pt
_cell_length_a 2.8363
_cell_length_b 7.8097
_cell_length_c 4.9109
_cell_angle_alpha 90.00
_cell_angle_beta 90.00
_cell_angle_gamma 90.00
_space_group_name_H-M_alt 'P m m n'
_space_group_IT_number 59
loop_
_space_group_symop_operation_xyz
'x,y,z'
'-x,-y,-z'
'-x+1/2,-y+1/2,z'
'x+1/2,y+1/2,-z'
'x+1/2,-y,-z'
'-x+1/2,y,z'
'-x,y+1/2,-z'
'x,-y+1/2,z'
loop_
_atom_site_label
_atom_site_type_symbol
_atom_site_fract_x
_atom_site_fract_y
_atom_site_fract_z
B1 B 0.2500 0.2500 0.0719
Pd1 Pd 0.2500 0.5713 0.7416
Pt1 Pt 0.2500 0.7500 0.2506